Record 1
CeRuRh2: relaxed, PBE.

E_tot = -7.63 eV/atom
Energy relative to the lowest polymorph listed for this composition = 284 meV/atom
Formation energy = -156 meV/atom

a = 4.564 Å, b = 4.564 Å, c = 11.585 Å
α = 90.00°, β = 90.00°, γ = 120.00°
Sites, in units of the cell vectors:
Ce1 0.000 0.000 0.000
Ce2 0.333 0.667 0.667
Ce3 0.667 0.333 0.333
Ru1 0.000 0.000 0.500
Ru2 0.333 0.667 0.167
Ru3 0.667 0.333 0.833
Rh1 0.000 0.000 0.267
Rh2 0.000 0.000 0.733
Rh3 0.333 0.667 0.400
Rh4 0.333 0.667 0.934
Rh5 0.667 0.333 0.066
Rh6 0.667 0.333 0.600


Record 2
U2Si3Pt: relaxed, PBE.

E_tot = -8.01 eV/atom
Formation energy without anion corrections = -12.268 kcal/mol of atoms

a = 3.811 Å, b = 4.151 Å, c = 7.106 Å
α = 90.00°, β = 90.00°, γ = 90.00°
Sites, in units of the cell vectors:
U1 0.000 0.000 0.000
U2 0.000 0.500 0.484
Si1 0.500 0.000 0.324
Si2 0.500 0.000 0.652
Si3 0.500 0.500 0.166
Pt1 0.500 0.500 0.827


Record 3
MnBeCr2: relaxed, PBE.

E_tot = -7.80 eV/atom
Formation energy = 232 meV/atom

a = 2.476 Å, b = 2.476 Å, c = 24.508 Å
α = 90.00°, β = 90.00°, γ = 120.00°
Sites, in units of the cell vectors:
Mn1 0.000 0.000 0.000
Mn2 0.333 0.667 0.667
Mn3 0.667 0.333 0.333
Be1 0.000 0.000 0.500
Be2 0.333 0.667 0.167
Be3 0.667 0.333 0.833
Cr1 0.000 0.000 0.248
Cr2 0.000 0.000 0.752
Cr3 0.333 0.667 0.418
Cr4 0.333 0.667 0.915
Cr5 0.667 0.333 0.085
Cr6 0.667 0.333 0.582


Record 4
Ac2CeAu6: relaxed, PBE.

E_tot = -4.52 eV/atom
Formation energy = -761 meV/atom

a = 8.378 Å, b = 8.378 Å, c = 3.793 Å
α = 90.00°, β = 90.00°, γ = 120.00°
Sites, in units of the cell vectors:
Ac1 0.333 0.667 0.000
Ac2 0.667 0.333 0.000
Ce1 0.000 0.000 0.000
Au1 0.000 0.331 0.500
Au2 0.000 0.669 0.500
Au3 0.331 0.000 0.500
Au4 0.331 0.331 0.500
Au5 0.669 0.000 0.500
Au6 0.669 0.669 0.500


Record 5
Li2Tb2TiS6: relaxed, PBE.

E_tot = -5.80 eV/atom
Formation energy without anion corrections = -37.895 kcal/mol of atoms

a = 6.620 Å, b = 6.620 Å, c = 6.460 Å
α = 98.44°, β = 98.44°, γ = 119.55°
Sites, in units of the cell vectors:
Li1 0.146 0.854 0.000
Li2 0.854 0.146 0.000
Tb1 0.333 0.667 0.500
Tb2 0.667 0.333 0.500
Ti1 0.000 0.000 0.500
S1 0.065 0.373 0.736
S2 0.232 0.232 0.265
S3 0.373 0.065 0.736
S4 0.627 0.935 0.264
S5 0.768 0.768 0.735
S6 0.935 0.627 0.264


Record 6
Re2HgW: relaxed, PBE.

E_tot = -8.84 eV/atom
Formation energy = 696 meV/atom

a = 3.034 Å, b = 4.691 Å, c = 9.465 Å
α = 90.00°, β = 90.00°, γ = 90.00°
Sites, in units of the cell vectors:
Re1 0.000 0.000 0.226
Re2 0.000 0.000 0.774
Re3 0.500 0.500 0.274
Re4 0.500 0.500 0.726
Hg1 0.000 0.500 0.000
Hg2 0.500 0.000 0.500
W1 0.000 0.500 0.500
W2 0.500 0.000 0.000


Record 7
Tb6DyTm4: relaxed, PBE.

E_tot = -4.26 eV/atom
Energy relative to the lowest polymorph listed for this composition = 187 meV/atom
Formation energy = 312 meV/atom

a = 9.648 Å, b = 9.648 Å, c = 9.648 Å
α = 140.55°, β = 140.55°, γ = 57.01°
Sites, in units of the cell vectors:
Tb1 0.000 0.500 0.500
Tb2 0.013 0.638 0.000
Tb3 0.362 0.362 0.375
Tb4 0.500 0.000 0.500
Tb5 0.638 0.013 0.000
Tb6 0.987 0.987 0.625
Dy1 0.000 0.000 0.000
Tm1 0.190 0.190 0.641
Tm2 0.451 0.810 0.000
Tm3 0.549 0.549 0.359
Tm4 0.810 0.451 0.000


Record 8
Tb2NdZr: relaxed, PBE.

E_tot = -5.55 eV/atom
Energy relative to the lowest polymorph listed for this composition = 0 meV/atom
Formation energy = 89 meV/atom

a = 3.486 Å, b = 3.486 Å, c = 34.166 Å
α = 90.00°, β = 90.00°, γ = 120.00°
Sites, in units of the cell vectors:
Tb1 0.000 0.000 0.000
Tb2 0.000 0.000 0.179
Tb3 0.333 0.667 0.667
Tb4 0.333 0.667 0.846
Tb5 0.667 0.333 0.333
Tb6 0.667 0.333 0.513
Nd1 0.000 0.000 0.756
Nd2 0.333 0.667 0.423
Nd3 0.667 0.333 0.090
Zr1 0.000 0.000 0.590
Zr2 0.333 0.667 0.256
Zr3 0.667 0.333 0.923


Record 9
CaNbCrBi2: relaxed, PBE.

E_tot = -5.07 eV/atom
Formation energy = 819 meV/atom

a = 5.494 Å, b = 5.494 Å, c = 5.596 Å
α = 90.00°, β = 90.00°, γ = 90.00°
Sites, in units of the cell vectors:
Ca1 0.000 0.000 0.000
Nb1 0.000 0.000 0.500
Cr1 0.500 0.500 0.000
Bi1 0.000 0.500 0.500
Bi2 0.500 0.000 0.500


Record 10
AsPbO4: relaxed, PBE.

E_tot = -5.73 eV/atom
Formation energy without anion corrections = -23.841 kcal/mol of atoms

a = 4.977 Å, b = 5.998 Å, c = 6.085 Å
α = 90.00°, β = 93.77°, γ = 90.00°
Sites, in units of the cell vectors:
As1 0.000 0.245 0.250
As2 0.000 0.755 0.750
Pb1 0.500 0.229 0.750
Pb2 0.500 0.771 0.250
O1 0.183 0.412 0.077
O2 0.183 0.588 0.577
O3 0.241 0.091 0.396
O4 0.241 0.909 0.896
O5 0.759 0.091 0.104
O6 0.759 0.909 0.604
O7 0.817 0.412 0.423
O8 0.817 0.588 0.923


Record 11
Au3CO: relaxed, PBE.

E_tot = -3.68 eV/atom
Energy relative to the lowest polymorph listed for this composition = 0 meV/atom
Formation energy without anion corrections = 25.860 kcal/mol of atoms

a = 4.260 Å, b = 4.260 Å, c = 4.260 Å
α = 90.00°, β = 90.00°, γ = 90.00°
Sites, in units of the cell vectors:
Au1 0.000 0.000 0.500
Au2 0.000 0.500 0.000
Au3 0.500 0.000 0.000
C1 0.000 0.000 0.000
O1 0.500 0.500 0.500


Record 12
IrRuC3: relaxed, PBE.

E_tot = -6.70 eV/atom
Energy relative to the lowest polymorph listed for this composition = 102 meV/atom
Formation energy = 2465 meV/atom

a = 3.929 Å, b = 3.929 Å, c = 3.929 Å
α = 90.00°, β = 90.00°, γ = 90.00°
Sites, in units of the cell vectors:
Ir1 0.000 0.000 0.000
Ru1 0.500 0.500 0.500
C1 0.000 0.500 0.500
C2 0.500 0.000 0.500
C3 0.500 0.500 0.000